A plane-wave DFT calculation with PBE-GGA was carried out for a relaxed Mg2TeAs2 crystal.

The structure belongs to space group P4/mbm (No. 127); the cell edges are 8.373, 8.373 and 3.078 Å and the angles 90.00°, 90.00° and 90.00°. The inequivalent atoms are Mg at (0.156, 0.344, 0.000), Te at (0.000, 0.000, 0.000) and As at (0.138, 0.638, 0.500).

The calculation puts the energy above the most stable polymorph in this dataset at 0.201 eV per atom. The density of states at the Fermi level comes out at 6.17 states/eV per cell. The value obtained for the final energy is -3.285 eV/atom.